[1]
Compound: SiNi2Cl
Source: the Alexandria database
Functional: GGA-PBEsol
Structure: optimized geometry

Cell lengths 2.8756, 2.8756, 6.1455 Å; angles 90.00, 90.00, 90.00 degrees
With the nearest neighbours (Å) after each atom.
Space group P4/mmm (No. 123)
Unique sites:
Si 0.0000 0.0000 0.0000  8 Ni 2.38
Ni 0.5000 0.5000 0.2016  4 Si 2.38, 1 Ni 2.48
Cl 0.0000 0.0000 0.5000  8 Ni 2.74, 4 Cl 2.88

Computed properties:
- magnetization (μB/cell) = 0.00
- total DFT energy (no corrections) (eV per atom) = -5.13
- ΔE_f (raw) (meV per atom) = -116


[2]
Compound: Sr2NiCl
Source: the Alexandria database
Functional: GGA-PBEsol
Structure: optimized geometry

Cell lengths 7.3553, 7.3553, 7.3553 Å; angles 90.00, 90.00, 90.00 degrees
With the nearest neighbours (Å) after each atom.
Space group Fm-3m (No. 225)
Unique sites:
Sr 0.2500 0.2500 0.2500  4 Ni 3.18, 4 Cl 3.18
Ni 0.0000 0.0000 0.0000  8 Sr 3.18
Cl 0.0000 0.0000 0.5000  8 Sr 3.18

Computed properties:
- magnetization (μB/cell) = 0.00
- energy above the most stable polymorph in this dataset (eV per formula unit) = 0.78
- total DFT energy (no corrections) (eV per atom) = -3.51
- ΔE_f (raw) (meV per atom) = -548


Q: Among the records above, which one has the highest ΔE_f (raw)?
A: SiNi2Cl


Q: Which formula does entry 2 have?
A: Sr2NiCl